Li13Fe2O12 | Alexandria | PBE with a Hubbard U | optimized geometry; space-group type = No. 1; total energy = -5.097 eV/atom; Fermi-level density of states = 0.556 states/eV per atom
1.0
-2.471 -0.947 4.940
4.849 -1.786 2.083
1.742 7.496 2.262
Li Fe O
13 2 12
direct
0.714 0.110 0.639
0.363 0.179 0.892
0.058 0.222 0.296
0.781 0.390 0.882
0.473 0.335 0.190
0.145 0.309 0.609
0.937 0.641 0.414
0.484 0.711 0.771
0.090 0.607 0.073
0.013 0.785 0.727
0.557 0.820 0.077
0.290 0.876 0.382
0.699 0.001 0.350
0.527 0.494 0.499
0.980 0.011 0.007
0.986 0.136 0.788
0.687 0.152 0.056
0.366 0.217 0.411
0.514 0.365 0.718
0.159 0.281 0.076
0.819 0.319 0.454
0.232 0.648 0.556
0.817 0.727 0.933
0.523 0.652 0.289
0.704 0.771 0.572
0.268 0.842 0.943
0.003 0.881 0.232